No. 1
Dy2TiSi2: optimized geometry, PBE.

Cell: 2.9024 2.9024 14.0475 Å, 90.00 90.00 90.00°
Element x y z (fractional)
Dy: 0.0000 0.0000 0.1200
Dy: 0.0000 0.0000 0.8800
Ti: 0.0000 0.0000 0.5000
Si: 0.0000 0.0000 0.3202
Si: 0.0000 0.0000 0.6798

**Spin magnetization**: 0.00 μB/atom
**Formation energy (no corrections)**: 71.6 kJ per mole of atoms
**VASP energy**: -24.23 eV/f.u.

---

No. 2
LiPrMgCo: optimized geometry, PBE.

Cell: 4.8064 4.8064 4.8064 Å, 60.00 60.00 60.00°
Element x y z (fractional)
Li: 0.0000 0.0000 0.0000
Pr: 0.7500 0.7500 0.7500
Mg: 0.2500 0.2500 0.2500
Co: 0.5000 0.5000 0.5000

**Calculated formation energy**: 0.075 eV/atom
**Spin magnetization**: 0.00 μB/atom
**VASP energy**: -15.09 eV/f.u.

---

No. 3
LiTi2In2: optimized geometry, PBE.

Cell: 7.7772 7.7772 3.3825 Å, 90.00 90.00 90.00°
Element x y z (fractional)
Li: 0.0000 0.0000 0.0000
Li: 0.5000 0.5000 0.0000
Ti: 0.1699 0.3301 0.5000
Ti: 0.3301 0.8301 0.5000
Ti: 0.6699 0.1699 0.5000
Ti: 0.8301 0.6699 0.5000
In: 0.1328 0.6328 0.0000
In: 0.3672 0.1328 0.0000
In: 0.6328 0.8672 0.0000
In: 0.8672 0.3672 0.0000

**Relative energy among the computed polymorphs**: 92 meV/atom
**Calculated formation energy**: 0.093 eV/atom
**Spin magnetization**: 0.00 μB/atom
**VASP energy**: -22.72 eV/f.u.

---

No. 4
AlCuNi: optimized geometry, PBE.

Cell: 2.6790 2.6790 6.0414 Å, 90.00 90.00 120.00°
Element x y z (fractional)
Al: 0.0000 0.0000 0.0000
Cu: 0.6667 0.3333 0.3469
Ni: 0.3333 0.6667 0.6843

**Relative energy among the computed polymorphs**: 248 meV/atom
**Calculated formation energy**: -0.154 eV/atom
**Spin magnetization**: 0.00 μB/atom
**VASP energy**: -14.08 eV/f.u.

---

No. 5
AlAsOs2: optimized geometry, PBE.

Cell: 2.7808 2.7808 9.8793 Å, 90.00 90.00 120.08°
Element x y z (fractional)
Al: 0.0000 0.0000 0.0000
As: 0.5000 0.5000 0.6755
Os: 0.0000 0.0000 0.4541
Os: 0.5000 0.5000 0.2241

**Relative energy among the computed polymorphs**: 490 meV/atom
**Calculated formation energy**: 0.448 eV/atom
**Spin magnetization**: 0.00 μB/atom
**VASP energy**: -29.06 eV/f.u.

---

No. 6
NdTm2Be: optimized geometry, PBE.

Cell: 11.5186 11.5186 11.5186 Å, 17.22 17.22 17.22°
Element x y z (fractional)
Nd: 0.0000 0.0000 0.0000
Tm: 0.4167 0.4167 0.4167
Tm: 0.5833 0.5833 0.5833
Be: 0.5000 0.5000 0.5000

**Relative energy among the computed polymorphs**: 651 meV/atom
**Calculated formation energy**: 0.705 eV/atom
**Spin magnetization**: 0.00 μB/atom
**VASP energy**: -14.62 eV/f.u.